PuFe2Si2 | Alexandria | meta-GGA SCAN | PBEsol geometry; E = -33.58 eV per atom; V = 71.5 Å³/f.u.; formation energy (no corrections) = -0.2888 eV per atom
1.0
-1.943 1.943 4.735
1.943 -1.943 4.735
1.943 1.943 -4.735
Pu Fe Si
1 2 2
Direct
0.000 0.000 0.000
0.250 0.750 0.500
0.750 0.250 0.500
0.369 0.369 0.000
0.631 0.631 0.000